Li3Al5: optimized geometry, GGA-PBEsol.

Output
The calculated total energy comes out at -3.3942 eV/atom. The volume is 128.2 Å³ per cell. The energy of formation from the pure elements comes out at -0.100 eV/atom. Its space-group type is Cmmm. For the total magnetization, the calculation gives 0.000 μB per atom.

Unit cell a=5.7047 b=5.7047 c=3.9438 alpha=90.00 beta=90.00 gamma=92.28
With the nearest neighbours (Å) after each atom.
Atoms (fractional coordinates):
Li1 0.0000 0.0000 0.0000  4 Li 2.79, 8 Al 2.85
Li2 0.2502 0.2502 0.5000  10 Al 2.79-2.86, 2 Li 2.79
Li3 0.7498 0.7498 0.5000  10 Al 2.79-2.86, 2 Li 2.79
Al1 0.0000 0.5000 0.0000  6 Al 2.79-2.85, 6 Li 2.85
Al2 0.2506 0.7494 0.5000  6 Al 2.79-2.85, 6 Li 2.85-2.86
Al3 0.5000 0.0000 0.0000  6 Al 2.79-2.85, 6 Li 2.85
Al4 0.5000 0.5000 0.0000  4 Li 2.79, 8 Al 2.85
Al5 0.7494 0.2506 0.5000  6 Al 2.79-2.85, 6 Li 2.85-2.86